A relaxed Mg2MnRe crystal, computed with GGA-PBE.

Computed properties:
ρ = 7.25 Mg/m³
Polymorph energy (0 for the lowest one) = 474 meV per atom
Calculated volume = 66.38 Å³/cell
Density of states at the Fermi level = 4.44 states/eV/cell
Energy of formation from the pure elements = 585 meV per atom

a b c (Å): 3.3882 3.3882 5.7823
angles (deg): 90.00 90.00 90.00
Last column: nearest neighbours and their distance in Å.
Space group P4/mmm (No. 123)
Unique sites:
Mg (0.0000, 0.0000, 0.2412) x2  4 Re 2.77, 2 Mg 2.79-2.99, 4 Mn 2.82
Mn (0.5000, 0.5000, 0.5000) x1  8 Mg 2.82, 2 Re 2.89
Re (0.5000, 0.5000, 0.0000) x1  8 Mg 2.77, 2 Mn 2.89